This record from the Alexandria database describes KSnHgAu after structural relaxation. The functional is PBE.

The structure in POSCAR format:
```
KSnHgAu
1.0
-3.7722 0.8338 -2.7557
-1.0821 -3.0014 -3.5128
-5.4053 -4.1950 2.0440
Sn Hg Au K
1 1 1 1
direct
0.6218 0.6218 0.1345
0.0276 0.0276 0.9171
0.2611 0.2611 0.2166
0.8153 0.8153 0.5542
```

Output
D(E_F)	0.22	states/eV per atom
raw total energy	-9.4	eV/f.u.
ΔE to the lowest computed polymorph	0.0	meV per atom
ΔH_f (0 K)	-0.19	eV per atom